Entry 1:
Ca2Ga5RuRh2, relaxed, DFT PBE-GGA; M_tot = 0.00 μB per cell; total energy = -4.76 eV/atom; symmetry = P4/mbm; density = 6.88 g/cm3
1.0
-1.5545 1.9545 -1.8561
-8.9874 -2.0132 5.4072
2.1956 8.0626 6.6512
Ru Ga Ca Rh
2 10 4 4
Cartesian
0.0000 0.0000 0.0000
-3.3959 3.0247 6.0292
0.4770 7.4111 4.7964
-5.2710 -0.0294 1.7755
-4.2921 5.3932 6.6657
-6.0154 6.9281 9.7253
-4.0543 2.6107 3.5365
-5.9859 3.1494 5.7215
-2.3604 4.8545 4.4807
-8.8234 0.5928 5.4059
0.3205 5.0085 2.3976
-2.3310 1.0757 0.4769
-0.8882 2.2420 3.1047
-1.0920 5.9817 7.2134
-5.6999 0.0677 4.8450
-5.9037 3.8074 8.9537
-7.0000 1.2257 7.1533
0.2082 4.8237 4.9051
-3.0289 0.3132 2.8665
-3.7629 5.7362 9.1918

---

Entry 2:
Sr2ReRu, relaxed, DFT PBE-GGA; M_tot = 0.98 μB per cell; total energy = -5.08 eV/atom; symmetry = Immm; density = 8.78 g/cm3
1.0
5.9471 0.0129 0.0057
2.9711 5.1518 -0.0057
-4.0597 -3.2720 2.8603
Re Sr Ru
1 2 1
Cartesian
3.1733 -0.3384 1.4330
4.2345 2.4522 0.0000
0.2247 0.1301 0.0000
1.6853 2.2311 1.4273

---

Entry 3:
TcHIrW2, relaxed, DFT PBE-GGA; M_tot = 0.00 μB per cell; total energy = -9.68 eV/atom; symmetry = P4/mmm; density = 17.28 g/cm3
1.0
-3.3692 -0.6222 -2.1286
2.2015 -0.4713 -3.3468
0.2581 -3.8175 0.7074
Ir H W Tc
1 1 2 1
Cartesian
0.1291 -1.9087 0.3537
0.0000 0.0000 0.0000
-1.6846 -0.3111 -1.0643
1.1007 -0.2356 -1.6734
-0.4548 -2.4555 -2.3840

---

Entry 4:
TiAl, relaxed, DFT PBE-GGA; M_tot = 0.01 μB per cell; total energy = -6.07 eV/atom; symmetry = P-6m2; density = 3.74 g/cm3
1.0
-0.4206 -1.8580 2.1538
1.3872 -0.8411 -2.3741
4.0363 1.2903 1.9013
Ti Al
1 1
Cartesian
2.0182 0.6451 0.9506
0.1820 -1.5190 0.6445

---

Entry 5:
Ca2NiW, relaxed, DFT PBE-GGA; M_tot = 1.53 μB per cell; total energy = -4.85 eV/atom; symmetry = Immm; density = 6.62 g/cm3
1.0
-0.0681 -4.2177 -4.2021
3.7904 0.1375 -4.5897
-0.8734 -0.2647 5.8837
Ca W Ni
2 1 1
Cartesian
3.5446 -3.8854 -8.3722
2.0388 -2.2349 -4.8155
2.3890 -1.0837 -1.5509
0.4598 -3.2613 -1.3571

---

Entry 6:
CeTmSc14, relaxed, DFT PBE-GGA; M_tot = 0.01 μB per cell; total energy = -6.18 eV/atom; symmetry = Amm2; density = 3.87 g/cm3
1.0
-1.3652 3.2662 -5.6582
-3.3733 -5.5534 1.5256
-7.1354 5.7132 5.0197
Sc Tm Ce
14 1 1
Cartesian
-8.3605 0.1646 4.0794
-5.2680 4.6514 -1.9498
-6.6487 2.9464 3.3073
-3.8325 1.7708 -2.0015
-5.5601 -0.9910 -1.2224
-6.2722 0.2405 1.6430
-7.3702 4.6034 0.4873
-6.9534 1.8784 -1.1895
-1.0239 0.1527 -1.6292
-4.8572 -2.6404 1.6149
-4.5850 3.0216 0.8761
-9.0376 1.7933 1.2239
-3.3837 -0.9863 -3.6872
-3.1712 0.1621 0.8610
-2.7011 -2.6010 -0.8792
-1.6956 1.8153 -4.4764